w:
{
  "formula": "CoCuAg2",
  "functional": "PBEsol",
  "state": "optimized geometry",
  "lattice": [[2.681, 0.000, 0.000], [0.000, 3.761, 0.000], [0.000, 0.000, 5.488]],
  "species": ["Co", "Cu", "Ag", "Ag"],
  "fractional_positions": [[0.000, 0.000, 0.000], [0.000, 0.000, 0.500], [0.500, 0.500, 0.249], [0.500, 0.500, 0.751]],
  "crystal_system": "orthorhombic",
  "space_group": "Pmmm, No. 47"
}


x:
{
  "formula": "CoCuAg2",
  "functional": "PBEsol",
  "state": "optimized geometry",
  "lattice": [[0.000, 3.037, 3.037], [3.037, 0.000, 3.037], [3.037, 3.037, 0.000]],
  "species": ["Co", "Cu", "Ag", "Ag"],
  "fractional_positions": [[0.000, 0.000, 0.000], [0.250, 0.250, 0.250], [0.500, 0.500, 0.500], [0.750, 0.750, 0.750]],
  "crystal_system": "cubic",
  "space_group": "F-43m, No. 216"
}


The least stable of them is x.


w:
{
  "formula": "CoCu2Ag",
  "functional": "PBEsol",
  "state": "optimized geometry",
  "lattice": [[1.308, 0.755, 8.472], [-1.308, 0.755, 8.472], [0.000, -1.510, 8.472]],
  "species": ["Co", "Cu", "Cu", "Ag"],
  "fractional_positions": [[0.000, 0.000, 0.000], [0.489, 0.489, 0.489], [0.744, 0.744, 0.744], [0.245, 0.245, 0.245]],
  "crystal_system": "trigonal",
  "space_group": "R3m, No. 160"
}


x:
{
  "formula": "CoCu2Ag",
  "functional": "PBEsol",
  "state": "optimized geometry",
  "lattice": [[4.308, -1.292, 0.000], [4.308, 1.292, 0.000], [-0.784, 0.000, 4.483]],
  "species": ["Co", "Cu", "Cu", "Ag"],
  "fractional_positions": [[0.000, 0.000, 0.000], [0.256, 0.256, 0.773], [0.510, 0.510, 0.530], [0.755, 0.755, 0.269]],
  "crystal_system": "monoclinic",
  "space_group": "Cm, No. 8"
}


y:
{
  "formula": "CoCu2Ag",
  "functional": "PBEsol",
  "state": "optimized geometry",
  "lattice": [[2.676, 0.000, 0.000], [0.000, 4.324, 0.000], [0.000, 0.000, 4.362]],
  "species": ["Co", "Cu", "Cu", "Ag"],
  "fractional_positions": [[0.000, 0.000, 0.000], [0.000, 0.500, 0.500], [0.500, 0.500, 0.000], [0.500, 0.000, 0.500]],
  "crystal_system": "orthorhombic",
  "space_group": "Pmmm, No. 47"
}


The least stable of them is y.


w:
{
  "formula": "CoAgIr2",
  "functional": "PBEsol",
  "state": "optimized geometry",
  "lattice": [[3.781, 0.000, 0.000], [0.000, 3.781, 0.000], [0.000, 0.000, 3.835]],
  "species": ["Co", "Ag", "Ir", "Ir"],
  "fractional_positions": [[0.000, 0.000, 0.000], [0.500, 0.500, 0.000], [0.000, 0.500, 0.500], [0.500, 0.000, 0.500]],
  "crystal_system": "tetragonal",
  "space_group": "P4/mmm, No. 123"
}


x:
{
  "formula": "CoAgIr2",
  "functional": "PBEsol",
  "state": "optimized geometry",
  "lattice": [[1.345, 0.776, 8.820], [-1.345, 0.776, 8.820], [0.000, -1.553, 8.820]],
  "species": ["Co", "Ag", "Ir", "Ir"],
  "fractional_positions": [[0.000, 0.000, 0.000], [0.500, 0.500, 0.500], [0.258, 0.258, 0.258], [0.742, 0.742, 0.742]],
  "crystal_system": "trigonal",
  "space_group": "R-3m, No. 166"
}


The least stable of them is w.


w:
{
  "formula": "CoAgIr2",
  "functional": "PBEsol",
  "state": "optimized geometry",
  "lattice": [[2.666, 0.000, 0.000], [0.000, 2.666, 0.000], [0.000, 0.000, 7.677]],
  "species": ["Co", "Ag", "Ir", "Ir"],
  "fractional_positions": [[0.000, 0.000, 0.000], [0.000, 0.000, 0.500], [0.500, 0.500, 0.218], [0.500, 0.500, 0.782]],
  "crystal_system": "tetragonal",
  "space_group": "P4/mmm, No. 123"
}


x:
{
  "formula": "CoAgIr2",
  "functional": "PBEsol",
  "state": "optimized geometry",
  "lattice": [[1.351, -2.296, 0.000], [1.351, 2.296, 0.000], [0.000, 0.000, 9.128]],
  "species": ["Co", "Ag", "Ir", "Ir"],
  "fractional_positions": [[0.000, 0.000, 0.000], [0.000, 0.000, 0.500], [0.500, 0.500, 0.229], [0.500, 0.500, 0.771]],
  "crystal_system": "orthorhombic",
  "space_group": "Cmmm, No. 65"
}


The least stable of them is x.


w:
{
  "formula": "CoAgIr2",
  "functional": "PBEsol",
  "state": "optimized geometry",
  "lattice": [[2.707, 0.000, 0.000], [0.000, 2.707, 0.000], [0.000, 0.000, 7.528]],
  "species": ["Co", "Ag", "Ir", "Ir"],
  "fractional_positions": [[0.000, 0.000, 0.000], [0.500, 0.500, 0.746], [0.000, 0.000, 0.466], [0.500, 0.500, 0.219]],
  "crystal_system": "tetragonal",
  "space_group": "P4mm, No. 99"
}


x:
{
  "formula": "CoAgIr2",
  "functional": "PBEsol",
  "state": "optimized geometry",
  "lattice": [[2.660, 0.000, 0.000], [0.000, 4.461, 0.000], [-0.340, 0.000, 4.759]],
  "species": ["Co", "Ag", "Ir", "Ir"],
  "fractional_positions": [[0.000, 0.000, 0.000], [0.500, 0.000, 0.500], [0.209, 0.500, 0.765], [0.791, 0.500, 0.235]],
  "crystal_system": "monoclinic",
  "space_group": "P2/m, No. 10"
}


The least stable of them is x.


w:
{
  "formula": "CoAg2Ir",
  "functional": "PBEsol",
  "state": "optimized geometry",
  "lattice": [[2.761, 0.000, 0.000], [0.000, 4.482, 0.000], [0.000, 0.000, 4.693]],
  "species": ["Co", "Ag", "Ag", "Ir"],
  "fractional_positions": [[0.000, 0.000, 0.000], [0.000, 0.500, 0.500], [0.500, 0.000, 0.500], [0.500, 0.500, 0.000]],
  "crystal_system": "orthorhombic",
  "space_group": "Pmmm, No. 47"
}


x:
{
  "formula": "CoAg2Ir",
  "functional": "PBEsol",
  "state": "optimized geometry",
  "lattice": [[0.000, 3.080, 3.080], [3.080, 0.000, 3.080], [3.080, 3.080, 0.000]],
  "species": ["Co", "Ag", "Ag", "Ir"],
  "fractional_positions": [[0.000, 0.000, 0.000], [0.250, 0.250, 0.250], [0.750, 0.750, 0.750], [0.500, 0.500, 0.500]],
  "crystal_system": "cubic",
  "space_group": "Fm-3m, No. 225"
}


y:
{
  "formula": "CoAg2Ir",
  "functional": "PBEsol",
  "state": "optimized geometry",
  "lattice": [[-1.371, 2.325, 4.595], [1.371, -2.325, 4.595], [1.371, 2.325, -4.595]],
  "species": ["Co", "Ag", "Ag", "Ir"],
  "fractional_positions": [[0.000, 0.000, 0.000], [0.482, 0.482, 0.000], [0.751, 0.251, 0.500], [0.215, 0.715, 0.500]],
  "crystal_system": "orthorhombic",
  "space_group": "Imm2, No. 44"
}


z:
{
  "formula": "CoAg2Ir",
  "functional": "PBEsol",
  "state": "optimized geometry",
  "lattice": [[2.631, -4.731, 0.000], [2.631, 4.731, 0.000], [-1.254, 0.000, 2.346]],
  "species": ["Co", "Ag", "Ag", "Ir"],
  "fractional_positions": [[0.000, 0.000, 0.000], [0.000, 0.500, 0.500], [0.500, 0.000, 0.500], [0.500, 0.500, 0.000]],
  "crystal_system": "monoclinic",
  "space_group": "C2/m, No. 12"
}


The least stable of them is x.


w:
{
  "formula": "KCoAg2",
  "functional": "PBEsol",
  "state": "optimized geometry",
  "lattice": [[3.053, 0.000, 0.000], [0.000, 3.158, 0.000], [0.000, 0.000, 8.103]],
  "species": ["K", "Co", "Ag", "Ag"],
  "fractional_positions": [[0.000, 0.000, 0.000], [0.000, 0.000, 0.500], [0.500, 0.500, 0.322], [0.500, 0.500, 0.678]],
  "crystal_system": "orthorhombic",
  "space_group": "Pmmm, No. 47"
}


x:
{
  "formula": "KCoAg2",
  "functional": "PBEsol",
  "state": "optimized geometry",
  "lattice": [[5.191, 0.000, 0.000], [0.000, 5.191, 0.000], [0.000, 0.000, 2.748]],
  "species": ["K", "Co", "Ag", "Ag"],
  "fractional_positions": [[0.000, 0.000, 0.000], [0.500, 0.500, 0.000], [0.000, 0.500, 0.500], [0.500, 0.000, 0.500]],
  "crystal_system": "tetragonal",
  "space_group": "P4/mmm, No. 123"
}


The least stable of them is x.


w:
{
  "formula": "CoAg2Pt",
  "functional": "PBEsol",
  "state": "optimized geometry",
  "lattice": [[2.718, 0.000, 0.000], [0.000, 4.031, 0.000], [0.000, 0.000, 5.378]],
  "species": ["Co", "Ag", "Ag", "Pt"],
  "fractional_positions": [[0.000, 0.000, 0.000], [0.500, 0.500, 0.244], [0.500, 0.500, 0.756], [0.000, 0.000, 0.500]],
  "crystal_system": "orthorhombic",
  "space_group": "Pmmm, No. 47"
}


x:
{
  "formula": "CoAg2Pt",
  "functional": "PBEsol",
  "state": "optimized geometry",
  "lattice": [[4.485, -1.373, 0.000], [4.485, 1.373, 0.000], [-0.900, 0.000, 4.787]],
  "species": ["Co", "Ag", "Ag", "Pt"],
  "fractional_positions": [[0.000, 0.000, 0.000], [0.505, 0.505, 0.522], [0.748, 0.748, 0.287], [0.262, 0.262, 0.809]],
  "crystal_system": "monoclinic",
  "space_group": "Cm, No. 8"
}


y:
{
  "formula": "CoAg2Pt",
  "functional": "PBEsol",
  "state": "optimized geometry",
  "lattice": [[2.663, -4.702, 0.000], [2.663, 4.702, 0.000], [-1.271, 0.000, 2.370]],
  "species": ["Co", "Ag", "Ag", "Pt"],
  "fractional_positions": [[0.000, 0.000, 0.000], [0.000, 0.500, 0.500], [0.500, 0.000, 0.500], [0.500, 0.500, 0.000]],
  "crystal_system": "monoclinic",
  "space_group": "C2/m, No. 12"
}


The least stable of them is w.


w:
{
  "formula": "CoAg2Pt",
  "functional": "PBEsol",
  "state": "optimized geometry",
  "lattice": [[0.000, 3.097, 3.097], [3.097, 0.000, 3.097], [3.097, 3.097, 0.000]],
  "species": ["Co", "Ag", "Ag", "Pt"],
  "fractional_positions": [[0.000, 0.000, 0.000], [0.250, 0.250, 0.250], [0.750, 0.750, 0.750], [0.500, 0.500, 0.500]],
  "crystal_system": "cubic",
  "space_group": "Fm-3m, No. 225"
}


x:
{
  "formula": "CoAg2Pt",
  "functional": "PBEsol",
  "state": "optimized geometry",
  "lattice": [[2.747, 0.000, 0.000], [0.000, 2.747, 0.000], [0.000, 0.000, 7.767]],
  "species": ["Co", "Ag", "Ag", "Pt"],
  "fractional_positions": [[0.000, 0.000, 0.000], [0.000, 0.000, 0.483], [0.500, 0.500, 0.757], [0.500, 0.500, 0.211]],
  "crystal_system": "tetragonal",
  "space_group": "P4mm, No. 99"
}


The least stable of them is w.


w:
{
  "formula": "CoAgRh2",
  "functional": "PBEsol",
  "state": "optimized geometry",
  "lattice": [[0.000, 3.024, 3.024], [3.024, 0.000, 3.024], [3.024, 3.024, 0.000]],
  "species": ["Co", "Ag", "Rh", "Rh"],
  "fractional_positions": [[0.000, 0.000, 0.000], [0.250, 0.250, 0.250], [0.500, 0.500, 0.500], [0.750, 0.750, 0.750]],
  "crystal_system": "cubic",
  "space_group": "F-43m, No. 216"
}


x:
{
  "formula": "CoAgRh2",
  "functional": "PBEsol",
  "state": "optimized geometry",
  "lattice": [[1.338, 0.772, 8.767], [-1.338, 0.772, 8.767], [0.000, -1.545, 8.767]],
  "species": ["Co", "Ag", "Rh", "Rh"],
  "fractional_positions": [[0.000, 0.000, 0.000], [0.500, 0.500, 0.500], [0.257, 0.257, 0.257], [0.743, 0.743, 0.743]],
  "crystal_system": "trigonal",
  "space_group": "R-3m, No. 166"
}


The least stable of them is w.


w:
{
  "formula": "Co2AgRu",
  "functional": "PBEsol",
  "state": "optimized geometry",
  "lattice": [[3.946, 0.000, 0.000], [0.000, 3.946, 0.000], [0.000, 0.000, 3.287]],
  "species": ["Co", "Co", "Ag", "Ru"],
  "fractional_positions": [[0.000, 0.500, 0.000], [0.500, 0.000, 0.000], [0.000, 0.000, 0.500], [0.500, 0.500, 0.500]],
  "crystal_system": "tetragonal",
  "space_group": "P4/mmm, No. 123"
}


x:
{
  "formula": "Co2AgRu",
  "functional": "PBEsol",
  "state": "optimized geometry",
  "lattice": [[1.312, 0.758, 8.563], [-1.312, 0.758, 8.563], [0.000, -1.515, 8.563]],
  "species": ["Co", "Co", "Ag", "Ru"],
  "fractional_positions": [[0.000, 0.000, 0.000], [0.261, 0.261, 0.261], [0.506, 0.506, 0.506], [0.744, 0.744, 0.744]],
  "crystal_system": "trigonal",
  "space_group": "R3m, No. 160"
}


The least stable of them is w.


w:
{
  "formula": "SrCoAg2",
  "functional": "PBEsol",
  "state": "optimized geometry",
  "lattice": [[3.106, 0.000, 0.000], [0.000, 4.514, 0.000], [-1.483, 0.000, 5.555]],
  "species": ["Sr", "Co", "Ag", "Ag"],
  "fractional_positions": [[0.000, 0.000, 0.000], [0.500, 0.000, 0.500], [0.333, 0.500, 0.705], [0.667, 0.500, 0.295]],
  "crystal_system": "monoclinic",
  "space_group": "P2/m, No. 10"
}


x:
{
  "formula": "SrCoAg2",
  "functional": "PBEsol",
  "state": "optimized geometry",
  "lattice": [[3.317, 0.000, 0.000], [0.000, 3.317, 0.000], [0.000, 0.000, 7.100]],
  "species": ["Sr", "Co", "Ag", "Ag"],
  "fractional_positions": [[0.000, 0.000, 0.000], [0.000, 0.000, 0.500], [0.500, 0.500, 0.311], [0.500, 0.500, 0.689]],
  "crystal_system": "tetragonal",
  "space_group": "P4/mmm, No. 123"
}


The least stable of them is w.


w:
{
  "formula": "SrCoAg2",
  "functional": "PBEsol",
  "state": "optimized geometry",
  "lattice": [[3.401, 0.000, 0.000], [0.000, 3.401, 0.000], [0.000, 0.000, 6.817]],
  "species": ["Sr", "Co", "Ag", "Ag"],
  "fractional_positions": [[0.000, 0.000, 0.000], [0.500, 0.500, 0.702], [0.000, 0.000, 0.536], [0.500, 0.500, 0.318]],
  "crystal_system": "tetragonal",
  "space_group": "P4mm, No. 99"
}


x:
{
  "formula": "SrCoAg2",
  "functional": "PBEsol",
  "state": "optimized geometry",
  "lattice": [[-2.117, 2.117, 4.267], [2.117, -2.117, 4.267], [2.117, 2.117, -4.267]],
  "species": ["Sr", "Co", "Ag", "Ag"],
  "fractional_positions": [[0.000, 0.000, 0.000], [0.250, 0.750, 0.500], [0.500, 0.500, 0.000], [0.750, 0.250, 0.500]],
  "crystal_system": "tetragonal",
  "space_group": "I-4m2, No. 119"
}


The least stable of them is x.